Entry 1:
Density functional theory data (GGA-PBE) for an optimized crystal structure of CrFe2NiOs.

Structure (CIF):
```
data_CrFe2NiOs
_space_group_name_H-M_alt 'P 1'
_space_group_IT_number 1
_space_group_name_Hall 'P 1'
_cell_length_a 4.435
_cell_length_b 4.463
_cell_length_c 4.435
_cell_angle_alpha 90.00
_cell_angle_beta 90.00
_cell_angle_gamma 90.00
loop_
_atom_site_label
_atom_site_fract_x
_atom_site_fract_y
_atom_site_fract_z
Ni1 0.000 0.500 0.000
Os1 0.000 0.000 0.000
Fe1 0.000 0.000 0.500
Fe2 0.500 0.000 0.000
Cr1 0.500 0.500 0.500
```

Properties
Its symmetry is P4/mmm (123).

---

Entry 2:
Density functional theory data (GGA-PBE) for an optimized crystal structure of CrFe2NiOs.

Structure (CIF):
```
data_CrFe2NiOs
_space_group_name_H-M_alt 'P 1'
_space_group_IT_number 1
_space_group_name_Hall 'P 1'
_cell_length_a 4.162
_cell_length_b 4.413
_cell_length_c 4.162
_cell_angle_alpha 90.00
_cell_angle_beta 90.00
_cell_angle_gamma 90.00
loop_
_atom_site_label
_atom_site_fract_x
_atom_site_fract_y
_atom_site_fract_z
Ni1 0.500 0.500 0.500
Os1 0.000 0.500 0.000
Fe1 0.000 0.000 0.500
Fe2 0.500 0.000 0.000
Cr1 0.000 0.000 0.000
```

Properties
Its symmetry is P4/mmm (123).

---

Record order is preserved below.
Relative energy among the computed polymorphs: 415; 0 meV per atom